Entry from the Alexandria database: a relaxed structure of CdPbN2 (PBE).

a b c (Å): 6.734 6.734 6.734
angles (deg): 30.67 30.67 30.67
Sites, in units of the cell vectors:
N (0.107, 0.107, 0.107)
N (0.893, 0.893, 0.893)
Pb (0.500, 0.500, 0.500)
Cd (0.000, 0.000, 0.000)

Properties
Mass density in g/cm3: 8.2
Energy above the lowest structure with this stoichiometry in meV/atom: 704
E in Ry/atom: -0.329
Energy relative to the elements, uncorrected in kJ per mole of atoms: 81.87
M_tot in μB per atom: 0.00